A relaxed IrAuSe2 crystal. Source: Alexandria via LeMat-Bulk, functional PBE-GGA.

Cell lengths 3.083, 23.007, 4.464 Å; angles 90.00, 90.00, 90.00 degrees
Element x y z (fractional)
1 Ir 0.000 0.187 0.250
2 Ir 0.000 0.813 0.750
3 Ir 0.500 0.313 0.750
4 Ir 0.500 0.687 0.250
5 Au 0.000 0.461 0.250
6 Au 0.000 0.539 0.750
7 Au 0.500 0.039 0.750
8 Au 0.500 0.961 0.250
9 Se 0.000 0.295 0.250
10 Se 0.000 0.399 0.750
11 Se 0.000 0.601 0.250
12 Se 0.000 0.705 0.750
13 Se 0.500 0.101 0.250
14 Se 0.500 0.205 0.750
15 Se 0.500 0.795 0.250
16 Se 0.500 0.899 0.750

SG ... Cmcm
Magnetization ... 0.0 Bohr magnetons per cell
Calculated total energy ... -4.654 eV/atom



A relaxed HgP crystal. Source: Alexandria via LeMat-Bulk, functional PBE-GGA.

Cell lengths 13.479, 3.230, 6.872 Å; angles 90.00, 113.45, 90.00 degrees
Element x y z (fractional)
1 Hg 0.000 0.000 0.000
2 Hg 0.028 0.000 0.446
3 Hg 0.202 0.500 0.054
4 Hg 0.500 0.500 0.000
5 Hg 0.528 0.500 0.446
6 Hg 0.702 0.000 0.054
7 P 0.225 0.000 0.718
8 P 0.323 0.500 0.637
9 P 0.355 0.000 0.414
10 P 0.725 0.500 0.718
11 P 0.823 0.000 0.637
12 P 0.855 0.500 0.414

SG ... Cm
Formation enthalpy at 0 K ... 0.271 eV/atom
Magnetization ... 0.0 Bohr magnetons per cell
Calculated total energy ... -2.585 eV/atom
Energy above the lowest structure with this stoichiometry ... 5.57 kcal/mol of atoms



A relaxed BaCr2Br crystal. Source: Alexandria via LeMat-Bulk, functional PBE-GGA.

Cell lengths 4.100, 4.100, 7.434 Å; angles 90.00, 90.00, 90.00 degrees
Element x y z (fractional)
1 Ba 0.000 0.000 0.000
2 Cr 0.000 0.000 0.576
3 Cr 0.500 0.500 0.648
4 Br 0.500 0.500 0.212

SG ... P4mm
Magnetization ... 9.3 Bohr magnetons per cell
Calculated total energy ... -5.330 eV/atom
Energy above the lowest structure with this stoichiometry ... 6.35 kcal/mol of atoms



A relaxed Na4ZrHg5 crystal. Source: Alexandria via LeMat-Bulk, functional PBE-GGA.

Cell lengths 3.473, 3.473, 20.452 Å; angles 90.00, 90.00, 90.00 degrees
Element x y z (fractional)
1 Na 0.000 0.000 0.102
2 Na 0.000 0.000 0.310
3 Na 0.000 0.000 0.690
4 Na 0.000 0.000 0.898
5 Zr 0.000 0.000 0.500
6 Hg 0.500 0.500 0.000
7 Hg 0.500 0.500 0.205
8 Hg 0.500 0.500 0.411
9 Hg 0.500 0.500 0.589
10 Hg 0.500 0.500 0.795

SG ... P4/mmm
Formation enthalpy at 0 K ... -0.180 eV/atom
Magnetization ... 0.0 Bohr magnetons per cell
Calculated total energy ... -1.713 eV/atom



A relaxed Li3Mg2TiO6 crystal. Source: Alexandria via LeMat-Bulk, functional PBE-GGA.

Cell lengths 5.185, 5.185, 5.131 Å; angles 99.78, 99.78, 119.97 degrees
Element x y z (fractional)
1 Li 0.000 0.000 0.000
2 Li 0.335 0.665 0.000
3 Li 0.665 0.335 0.000
4 Mg 0.167 0.833 0.500
5 Mg 0.833 0.167 0.500
6 Ti 0.500 0.500 0.500
7 O 0.105 0.423 0.270
8 O 0.258 0.258 0.727
9 O 0.423 0.105 0.270
10 O 0.577 0.895 0.730
11 O 0.742 0.742 0.273
12 O 0.895 0.577 0.730

SG ... C2/m
Magnetization ... 0.0 Bohr magnetons per cell
Calculated total energy ... -6.263 eV/atom



A relaxed CdPtN2 crystal. Source: Alexandria via LeMat-Bulk, functional PBE-GGA.

Cell lengths 3.327, 3.327, 18.990 Å; angles 90.00, 90.00, 120.00 degrees
Element x y z (fractional)
1 Cd 0.000 0.000 0.000
2 Cd 0.333 0.667 0.667
3 Cd 0.667 0.333 0.333
4 Pt 0.000 0.000 0.500
5 Pt 0.333 0.667 0.167
6 Pt 0.667 0.333 0.833
7 N 0.000 0.000 0.403
8 N 0.000 0.000 0.597
9 N 0.333 0.667 0.070
10 N 0.333 0.667 0.264
11 N 0.667 0.333 0.736
12 N 0.667 0.333 0.930

SG ... R-3m
Magnetization ... 0.0 Bohr magnetons per cell
Calculated total energy ... -4.833 eV/atom